Below is a geometry-optimized Nd4SiTe2As structure, with properties calculated at the PBE level.

a = 7.5524 Å, b = 4.3585 Å, c = 7.7311 Å
α = 90.00°, β = 108.95°, γ = 90.00°
With the nearest neighbours (Å) after each atom.
Space group P2/m (No. 10)
Inequivalent atoms, fractional coordinates:
Nd: 0.2379 0.0000 0.2228  2 Si 2.99, 1 As 3.02, 3 Te 3.21-3.24
Nd: 0.2560 0.5000 0.7781  1 Si 2.97, 2 As 3.01, 3 Te 3.23-3.25
Si: 0.0000 0.5000 0.0000  6 Nd 2.97-2.99
Te: 0.0000 0.0000 0.5000  6 Nd 3.21-3.23
Te: 0.5000 0.5000 0.5000  6 Nd 3.24-3.25
As: 0.5000 0.0000 0.0000  6 Nd 3.01-3.02

ρ   6.45 g/cm³
DOS(E_F)   1.78 states/eV/cell
Formation energy without anion corrections   -1.3488 eV per atom
Total magnetization   0.00 μB per cell
Final energy   -5.777 eV/atom


Below is a geometry-optimized Nd8Si3Te4As structure, with properties calculated at the PBE level.

a = 8.7168 Å, b = 8.7168 Å, c = 21.9876 Å
α = 90.00°, β = 90.00°, γ = 120.00°
With the nearest neighbours (Å) after each atom.
Space group R-3m (No. 166, hexagonal axes)
Inequivalent atoms, fractional coordinates:
Nd: 0.0000 0.0000 0.2414  3 Si 3.00, 3 Te 3.23
Nd: 0.0028 0.5014 0.7593  2 Si 2.99, 1 As 3.01, 3 Te 3.22-3.25
Si: 0.0000 0.5000 0.5000  6 Nd 2.99-3.00
Te: 0.0000 0.0000 0.0000  6 Nd 3.22
Te: 0.0000 0.5000 0.0000  6 Nd 3.23-3.25
As: 0.0000 0.0000 0.5000  6 Nd 3.01

ρ   6.28 g/cm³
DOS(E_F)   10.76 states/eV/cell
Formation energy without anion corrections   -1.2367 eV per atom
Total magnetization   0.00 μB per cell
Final energy   -5.713 eV/atom


Below is a geometry-optimized Nd8SiTe4As3 structure, with properties calculated at the PBE level.

a = 8.6978 Å, b = 8.6978 Å, c = 21.9829 Å
α = 90.00°, β = 90.00°, γ = 120.00°
With the nearest neighbours (Å) after each atom.
Space group R-3m (No. 166, hexagonal axes)
Inequivalent atoms, fractional coordinates:
Nd: 0.0000 0.0000 0.2404  3 As 2.99, 3 Te 3.24
Nd: 0.0039 0.5019 0.2404  1 Si 2.96, 2 As 3.00, 3 Te 3.23-3.26
Si: 0.0000 0.0000 0.5000  6 Nd 2.96
Te: 0.0000 0.0000 0.0000  6 Nd 3.26
Te: 0.0000 0.5000 0.0000  6 Nd 3.23-3.24
As: 0.0000 0.5000 0.5000  6 Nd 2.99-3.00

ρ   6.63 g/cm³
DOS(E_F)   16.61 states/eV/cell
Formation energy without anion corrections   -1.4506 eV per atom
Total magnetization   0.00 μB per cell
Final energy   -5.831 eV/atom


Below is a geometry-optimized Nd3SmAs3 structure, with properties calculated at the PBE level.

a = 9.0159 Å, b = 9.0159 Å, c = 9.0159 Å
α = 90.00°, β = 90.00°, γ = 90.00°
With the nearest neighbours (Å) after each atom.
Space group P2_13 (No. 198)
Inequivalent atoms, fractional coordinates:
Nd: 0.0657 0.4343 0.5657  6 As 2.97-3.28
Nd: 0.1832 0.8168 0.3168  6 As 2.96-3.30
Nd: 0.1838 0.1838 0.1838  6 As 2.96-3.30
Sm: 0.0660 0.5660 0.9340  6 As 2.95-3.30
As: 0.0005 0.2517 0.8738  2 Sm 2.95-3.30, 5 Nd 2.96-3.30

ρ   7.32 g/cm³
DOS(E_F)   27.38 states/eV/cell
Total magnetization   0.00 μB per cell
Final energy   -5.980 eV/atom


Below is a geometry-optimized NdSm3As3 structure, with properties calculated at the PBE level.

a = 8.9525 Å, b = 8.9525 Å, c = 8.9525 Å
α = 90.00°, β = 90.00°, γ = 90.00°
With the nearest neighbours (Å) after each atom.
Space group P2_13 (No. 198)
Inequivalent atoms, fractional coordinates:
Nd: 0.0665 0.4335 0.5665  6 As 2.96-3.27
Sm: 0.0668 0.5668 0.9332  3 As 2.93
Sm: 0.1842 0.1842 0.1842  6 As 2.94-3.27
Sm: 0.1837 0.8163 0.3163  6 As 2.94-3.26
As: 0.0004 0.2518 0.8762  5 Sm 2.93-3.27, 2 Nd 2.96-3.27

ρ   7.59 g/cm³
DOS(E_F)   26.92 states/eV/cell
Total magnetization   0.00 μB per cell
Final energy   -5.968 eV/atom


Below is a geometry-optimized Nd3Sm5As8 structure, with properties calculated at the PBE level.

a = 8.4725 Å, b = 8.4725 Å, c = 20.7548 Å
α = 90.00°, β = 90.00°, γ = 120.00°
With the nearest neighbours (Å) after each atom.
Space group R-3m (No. 166, hexagonal axes)
Inequivalent atoms, fractional coordinates:
Nd: 0.0000 0.5000 0.0000  6 As 3.01
Sm: 0.0000 0.0000 0.0000  6 As 3.00
Sm: 0.0000 0.0000 0.5000  6 As 3.00
Sm: 0.0000 0.5000 0.5000  6 As 2.98
As: 0.0000 0.0000 0.2488  3 Sm 2.98, 3 Nd 3.01
As: 0.0015 0.5007 0.7507  4 Sm 2.98-3.00, 2 Nd 3.01

ρ   6.89 g/cm³
DOS(E_F)   6.00 states/eV/cell
Total magnetization   0.00 μB per cell
Final energy   -6.215 eV/atom


Below is a geometry-optimized Nd5Sm3As8 structure, with properties calculated at the PBE level.

a = 8.5024 Å, b = 8.5024 Å, c = 20.8303 Å
α = 90.00°, β = 90.00°, γ = 120.00°
With the nearest neighbours (Å) after each atom.
Space group R-3m (No. 166, hexagonal axes)
Inequivalent atoms, fractional coordinates:
Nd: 0.0000 0.0000 0.0000  6 As 3.01
Nd: 0.0000 0.0000 0.5000  6 As 3.01
Nd: 0.0000 0.5000 0.0000  6 As 3.02
Sm: 0.0000 0.5000 0.5000  6 As 2.99
As: 0.0000 0.0000 0.2488  3 Sm 2.99, 3 Nd 3.02
As: 0.0015 0.5008 0.7508  2 Sm 2.99, 4 Nd 3.01-3.02

ρ   6.77 g/cm³
DOS(E_F)   6.07 states/eV/cell
Total magnetization   0.00 μB per cell
Final energy   -6.217 eV/atom


Below is a geometry-optimized SrNdSm2As4 structure, with properties calculated at the PBE level.

a = 7.4356 Å, b = 4.2754 Å, c = 7.4518 Å
α = 90.00°, β = 109.34°, γ = 90.00°
With the nearest neighbours (Å) after each atom.
Space group P2/m (No. 10)
Inequivalent atoms, fractional coordinates:
Sr: 0.0000 0.0000 0.0000  6 As 3.10-3.11
Nd: 0.5000 0.5000 0.0000  6 As 3.05
Sm: 0.0000 0.5000 0.5000  6 As 3.02
Sm: 0.5000 0.0000 0.5000  6 As 2.96-2.97
As: 0.2529 0.0000 0.7423  3 Sm 2.97-3.02, 2 Nd 3.05, 1 Sr 3.10
As: 0.2611 0.5000 0.2635  3 Sm 2.96-3.02, 1 Nd 3.05, 2 Sr 3.11

ρ   6.18 g/cm³
DOS(E_F)   4.43 states/eV/cell
Total magnetization   0.00 μB per cell
Final energy   -5.657 eV/atom


Below is a geometry-optimized Tb3Nd2SmAs6 structure, with properties calculated at the PBE level.

a = 18.2867 Å, b = 4.1984 Å, c = 8.3901 Å
α = 90.00°, β = 103.24°, γ = 90.00°
With the nearest neighbours (Å) after each atom.
Space group C2/m (No. 12)
Inequivalent atoms, fractional coordinates:
Tb: 0.0000 0.0000 0.0000  6 As 2.94-2.95
Tb: 0.1668 0.5000 0.3334  6 As 2.93-2.95
Nd: 0.1663 0.5000 0.8327  6 As 3.00
Sm: 0.0000 0.0000 0.5000  6 As 2.98-2.99
As: 0.0020 0.5000 0.2480  3 Tb 2.93-2.95, 2 Sm 2.99, 1 Nd 3.00
As: 0.1649 0.0000 0.0877  3 Tb 2.94, 3 Nd 3.00
As: 0.1676 0.0000 0.5781  3 Tb 2.93-2.95, 1 Sm 2.98, 2 Nd 3.00

ρ   7.23 g/cm³
DOS(E_F)   3.63 states/eV/cell
Total magnetization   0.00 μB per cell
Final energy   -6.196 eV/atom


Below is a geometry-optimized TbNd2Sm3As6 structure, with properties calculated at the PBE level.

a = 18.3999 Å, b = 4.2239 Å, c = 8.4422 Å
α = 90.00°, β = 103.27°, γ = 90.00°
With the nearest neighbours (Å) after each atom.
Space group C2/m (No. 12)
Inequivalent atoms, fractional coordinates:
Tb: 0.0000 0.0000 0.0000  6 As 2.96-2.97
Nd: 0.1659 0.5000 0.3322  6 As 2.99-3.01
Sm: 0.0000 0.0000 0.5000  6 As 2.97-3.01
Sm: 0.1670 0.5000 0.8338  6 As 2.97-3.00
As: 0.0012 0.5000 0.7539  2 Tb 2.97, 3 Sm 2.97-3.01, 1 Nd 2.99
As: 0.1653 0.0000 0.0800  1 Tb 2.96, 3 Sm 2.97-3.00, 2 Nd 3.00
As: 0.1659 0.0000 0.5852  3 Sm 2.97, 3 Nd 3.00-3.01

ρ   7.01 g/cm³
DOS(E_F)   3.52 states/eV/cell
Total magnetization   0.00 μB per cell
Final energy   -6.206 eV/atom